Record 1
Computed, not measured: a relaxed GePbSe3 crystal at the PBE level of DFT.

Structure (CIF):
```
data_GePbSe3
_space_group_name_H-M_alt 'C 1 2/m 1'
_space_group_IT_number 12
_cell_length_a 11.539
_cell_length_b 9.543
_cell_length_c 5.929
_cell_angle_alpha 90.00
_cell_angle_beta 95.15
_cell_angle_gamma 90.00
loop_
_space_group_symop_operation_xyz
'x,y,z'
'-x,-y,-z'
'-x,y,-z'
'x,-y,z'
'x+1/2,y+1/2,z'
'-x+1/2,-y+1/2,-z'
'-x+1/2,y+1/2,-z'
'x+1/2,-y+1/2,z'
loop_
_atom_site_label
_atom_site_type_symbol
_atom_site_fract_x
_atom_site_fract_y
_atom_site_fract_z
_atom_site_occupancy
Ge1 Ge 0.000 0.173 0.000 1
Pb1 Pb 0.189 0.500 0.912 1
Se1 Se 0.100 0.000 0.775 1
Se2 Se 0.133 0.295 0.247 1
```

Values from the calculation:
* raw formation energy: -0.3528 eV/atom
* D(E_F): 0.0 states/eV per cell
* calculated total energy: -0.3020 Ry/atom
* spin magnetization: 0.00 μB per formula unit

---

Record 2
Computed, not measured: a relaxed GePb3Se crystal at the PBE level of DFT.

Structure (CIF):
```
data_GePb3Se
_space_group_name_H-M_alt 'P m -3 m'
_space_group_IT_number 221
_space_group_name_Hall '-P 4 2 3'
_cell_length_a 5.576
_cell_length_b 5.576
_cell_length_c 5.576
_cell_angle_alpha 90.00
_cell_angle_beta 90.00
_cell_angle_gamma 90.00
loop_
_atom_site_label
_atom_site_type_symbol
_atom_site_fract_x
_atom_site_fract_y
_atom_site_fract_z
_atom_site_occupancy
Ge1 Ge 0.000 0.000 0.000 1
Pb1 Pb 0.000 0.000 0.500 1
Se1 Se 0.500 0.500 0.500 1
```

Values from the calculation:
* raw formation energy: 0.3965 eV/atom
* D(E_F): 3.2 states/eV per cell
* calculated total energy: -0.2535 Ry/atom
* spin magnetization: 0.00 μB per formula unit
* relative energy among the computed polymorphs: 0.00 kcal/mol of atoms

---

Question: Which value of raw formation energy does entry 2 give?
Answer: 0.3965 eV/atom

---

Question: calculated total energy of number 2 (GePb3Se)?
Answer: -0.2535 Ry/atom

---

Please write out number 2 again, unchanged.
Computed, not measured: a relaxed GePb3Se crystal at the PBE level of DFT.

Structure (CIF):
```
data_GePb3Se
_space_group_name_H-M_alt 'P m -3 m'
_space_group_IT_number 221
_space_group_name_Hall '-P 4 2 3'
_cell_length_a 5.576
_cell_length_b 5.576
_cell_length_c 5.576
_cell_angle_alpha 90.00
_cell_angle_beta 90.00
_cell_angle_gamma 90.00
loop_
_atom_site_label
_atom_site_type_symbol
_atom_site_fract_x
_atom_site_fract_y
_atom_site_fract_z
_atom_site_occupancy
Ge1 Ge 0.000 0.000 0.000 1
Pb1 Pb 0.000 0.000 0.500 1
Se1 Se 0.500 0.500 0.500 1
```

Values from the calculation:
* raw formation energy: 0.3965 eV/atom
* D(E_F): 3.2 states/eV per cell
* calculated total energy: -0.2535 Ry/atom
* spin magnetization: 0.00 μB per formula unit
* relative energy among the computed polymorphs: 0.00 kcal/mol of atoms